MgAlZn2Bi | PBE-GGA | optimized geometry Values from VASP.

Cell and atoms, written as Quantum ESPRESSO input:
```
&SYSTEM
  ibrav = 0, nat = 5, ntyp = 4
/
ATOMIC_SPECIES
Mg 24.30 Mg.upf
Zn 65.41 Zn.upf
Bi 208.98 Bi.upf
Al 26.98 Al.upf
ATOMIC_POSITIONS crystal
Mg 0.500 0.500 0.500
Zn 0.000 0.000 0.500
Zn 0.500 0.000 0.000
Bi 0.000 0.000 0.000
Al 0.000 0.500 0.000
CELL_PARAMETERS angstrom
5.357 0.000 0.000
0.000 5.692 0.000
0.000 0.000 5.357
```

* E_form: 3.54 eV/f.u.
* space group: No. 123
* VASP energy: -1.64 eV/atom